Entry from Alexandria: a relaxed structure of NiB (PBE).

Summary:
* total DFT energy (no corrections): -6.156 eV per atom
* volume: 8.992 Å³ per atom
* magnetization: 0.000 μB/f.u.

```
data_NiB
_symmetry_space_group_name_H-M 'F d d d'
_symmetry_Int_Tables_number 70
_cell_length_a 2.567
_cell_length_b 9.264
_cell_length_c 12.102
_cell_angle_alpha 90.00
_cell_angle_beta 90.00
_cell_angle_gamma 90.00
loop_
_symmetry_equiv_pos_as_xyz
'x,y,z'
'-x,-y,-z'
'-x+1/4,-y+1/4,z'
'x+1/4,y+1/4,-z'
'x,-y+1/4,-z+1/4'
'-x,y+1/4,z+1/4'
'-x+1/4,y,-z+1/4'
'x+1/4,-y,z+1/4'
'x,y+1/2,z+1/2'
'-x,-y+1/2,-z+1/2'
'-x+1/4,-y+3/4,z+1/2'
'x+1/4,y+3/4,-z+1/2'
'x,-y+3/4,-z+3/4'
'-x,y+3/4,z+3/4'
'-x+1/4,y+1/2,-z+3/4'
'x+1/4,-y+1/2,z+3/4'
'x+1/2,y,z+1/2'
'-x+1/2,-y,-z+1/2'
'-x+3/4,-y+1/4,z+1/2'
'x+3/4,y+1/4,-z+1/2'
'x+1/2,-y+1/4,-z+3/4'
'-x+1/2,y+1/4,z+3/4'
'-x+3/4,y,-z+3/4'
'x+3/4,-y,z+3/4'
'x+1/2,y+1/2,z'
'-x+1/2,-y+1/2,-z'
'-x+3/4,-y+3/4,z'
'x+3/4,y+3/4,-z'
'x+1/2,-y+3/4,-z+1/4'
'-x+1/2,y+3/4,z+1/4'
'-x+3/4,y+1/2,-z+1/4'
'x+3/4,-y+1/2,z+1/4'
loop_
_atom_site_label
_atom_site_type_symbol
_atom_site_fract_x
_atom_site_fract_y
_atom_site_fract_z
Ni1 Ni 0.125 0.125 0.023
B1 B 0.125 0.300 0.125
```

=====

Entry from Alexandria: a relaxed structure of Ac2Bi2Pd15 (PBE).

Summary:
* total DFT energy (no corrections): -5.342 eV per atom
* volume: 19.037 Å³ per atom
* magnetization: 0.000 μB/f.u.

```
data_Ac2Bi2Pd15
_symmetry_space_group_name_H-M 'R -3 m'
_symmetry_Int_Tables_number 166
_symmetry_space_group_name_Hall '-R 3 2"'
_cell_length_a 9.4412
_cell_length_b 9.4412
_cell_length_c 14.0569
_cell_angle_alpha 90.00
_cell_angle_beta 90.00
_cell_angle_gamma 120.00
loop_
_atom_site_label
_atom_site_type_symbol
_atom_site_fract_x
_atom_site_fract_y
_atom_site_fract_z
Ac1 Ac 0.0000 0.0000 0.1469
Bi1 Bi 0.0000 0.0000 0.3946
Pd1 Pd 0.0000 0.3161 0.5000
Pd2 Pd 0.0000 0.5000 0.0000
Pd3 Pd 0.0060 0.5030 0.6580
```

=====

Entry from Alexandria: a relaxed structure of Pa4Te5S (PBE).

Summary:
* volume: 30.742 Å³ per atom
* magnetization: 1.654 μB/f.u.
* formation energy without anion corrections: -0.956 eV/atom

```
data_Pa4Te5S
_symmetry_space_group_name_H-M 'C 1 2/m 1'
_symmetry_Int_Tables_number 12
_symmetry_space_group_name_Hall '-C 2y'
_cell_length_a 18.313
_cell_length_b 4.119
_cell_length_c 8.360
_cell_angle_alpha 90.00
_cell_angle_beta 102.81
_cell_angle_gamma 90.00
loop_
_atom_site_label
_atom_site_type_symbol
_atom_site_fract_x
_atom_site_fract_y
_atom_site_fract_z
Pa1 Pa 0.004 0.000 0.283
Pa2 Pa 0.152 0.500 0.573
Te1 Te 0.000 0.500 0.000
Te2 Te 0.165 0.000 0.845
Te3 Te 0.174 0.000 0.311
S1 S 0.000 0.500 0.500
```

=====

Entry from Alexandria: a relaxed structure of SiPbAu3 (PBE).

Summary:
* ΔE to the lowest computed polymorph: 1.110 eV/atom
* volume: 29.487 Å³ per atom
* magnetization: 0.001 μB/f.u.
* formation energy without anion corrections: 1.059 eV/atom

```
data_SiPbAu3
_symmetry_space_group_name_H-M 'P m -3 m'
_symmetry_Int_Tables_number 221
_symmetry_space_group_name_Hall '-P 4 2 3'
_cell_length_a 5.283
_cell_length_b 5.283
_cell_length_c 5.283
_cell_angle_alpha 90.00
_cell_angle_beta 90.00
_cell_angle_gamma 90.00
loop_
_atom_site_label
_atom_site_type_symbol
_atom_site_fract_x
_atom_site_fract_y
_atom_site_fract_z
Si1 Si 0.000 0.000 0.000
Pb1 Pb 0.500 0.500 0.500
Au1 Au 0.000 0.500 0.500
```

=====

Entry from Alexandria: a relaxed structure of Ti4VSi3 (PBE).

Summary:
* volume: 14.781 Å³ per atom
* magnetization: 0.000 μB/f.u.
* formation energy without anion corrections: -0.747 eV/atom

```
data_Ti4VSi3
_symmetry_space_group_name_H-M 'I 4/m c m'
_symmetry_Int_Tables_number 140
_symmetry_space_group_name_Hall '-I 4 2c'
_cell_length_a 9.823
_cell_length_b 9.823
_cell_length_c 4.902
_cell_angle_alpha 90.00
_cell_angle_beta 90.00
_cell_angle_gamma 90.00
loop_
_atom_site_label
_atom_site_type_symbol
_atom_site_fract_x
_atom_site_fract_y
_atom_site_fract_z
Ti1 Ti 0.080 0.220 0.000
V1 V 0.000 0.500 0.250
Si1 Si 0.000 0.000 0.250
Si2 Si 0.157 0.343 0.500
```

=====

Entry from Alexandria: a relaxed structure of Li2LaTc (PBE).

Summary:
* ΔE to the lowest computed polymorph: 0.214 eV/atom
* volume: 18.557 Å³ per atom
* magnetization: 0.000 μB/f.u.

```
data_Li2LaTc
_symmetry_space_group_name_H-M 'P 4/m m m'
_symmetry_Int_Tables_number 123
_symmetry_space_group_name_Hall '-P 4 2'
_cell_length_a 3.747
_cell_length_b 3.747
_cell_length_c 5.287
_cell_angle_alpha 90.00
_cell_angle_beta 90.00
_cell_angle_gamma 90.00
loop_
_atom_site_label
_atom_site_type_symbol
_atom_site_fract_x
_atom_site_fract_y
_atom_site_fract_z
Li1 Li 0.000 0.000 0.199
La1 La 0.500 0.500 0.500
Tc1 Tc 0.500 0.500 0.000
```

=====

The lowest volume belongs to which entry? NiB

=====

Look up the magnetization of the fourth one. 0.001 μB/f.u.